Entry from the Alexandria database: an optimized crystal structure of NpAl4Ir5 (GGA-PBE).

space-group type = No. 123
final energy = -0.59157 Ry per atom
ΔH_f (0 K) = -8.3 eV per formula unit
crystal system = tetragonal
V = 148 Å³/f.u.

Structure (POSCAR):
```
NpAl4Ir5
1.0
-1.0484 2.3519 1.5196
-2.5819 -0.1839 -1.4966
-5.9961 -10.1641 11.5939
Np Al Ir
1 4 5
Direct
0.0000 0.0000 0.0000
0.0000 0.0000 0.2185
0.0000 0.0000 0.4067
0.0000 0.0000 0.5933
0.0000 0.0000 0.7815
0.5000 0.5000 0.1295
0.5000 0.5000 0.3161
0.5000 0.5000 0.5000
0.5000 0.5000 0.6839
0.5000 0.5000 0.8705
```